An optimized crystal structure of Pr4TlPd2, computed with PBE.

a b c (Å): 4.9991 4.9991 10.2531
angles (deg): 75.89 75.89 60.00
Closest atoms and distances in Å follow each position.
Fractional coordinates of all 7 atoms:
Pr (0.3837, 0.3837, 0.8489)  3 Tl 3.25, 3 Pd 3.26
Pr (0.2043, 0.2043, 0.3871)  4 Pd 3.00-3.03
Pr (0.7957, 0.7957, 0.6129)  4 Pd 3.00-3.03
Pr (0.6163, 0.6163, 0.1511)  3 Tl 3.25, 3 Pd 3.26
Tl (0.0000, 0.0000, 0.0000)  2 Pd 3.00, 6 Pr 3.25
Pd (0.1015, 0.1015, 0.6955)  1 Tl 3.00, 7 Pr 3.00-3.26
Pd (0.8985, 0.8985, 0.3045)  1 Tl 3.00, 7 Pr 3.00-3.26

**ΔE_f**: -39.6 kJ/mol of atoms
**Raw total energy**: -4.9633 eV per atom
**Mass density**: 7.6 g/cm3
**Fermi-level density of states**: 5.02 states/eV per cell

=====

An optimized crystal structure of PrTl2Pd4, computed with PBE.

a b c (Å): 4.7157 4.7157 8.3152
angles (deg): 73.53 73.53 60.00
Closest atoms and distances in Å follow each position.
Fractional coordinates of all 7 atoms:
Pr (0.0000, 0.0000, 0.0000)  8 Pd 2.99-3.26
Tl (0.7557, 0.7557, 0.7330)  7 Pd 2.74-2.87
Tl (0.2443, 0.2443, 0.2670)  7 Pd 2.74-2.87
Pd (0.8731, 0.8731, 0.3807)  4 Tl 2.77-2.87, 3 Pd 2.97, 1 Pr 2.99
Pd (0.1269, 0.1269, 0.6193)  4 Tl 2.77-2.87, 3 Pd 2.97, 1 Pr 2.99
Pd (0.5903, 0.5903, 0.2290)  3 Tl 2.74, 3 Pd 2.97
Pd (0.4097, 0.4097, 0.7710)  3 Tl 2.74, 3 Pd 2.97

**ΔE_f**: -29.8 kJ/mol of atoms
**Raw total energy**: -4.6348 eV per atom
**Mass density**: 10.7 g/cm3
**Fermi-level density of states**: 3.93 states/eV per cell

=====

An optimized crystal structure of PrTl2Pd5, computed with PBE.

a b c (Å): 4.3035 7.5238 7.5238
angles (deg): 45.68 73.38 73.38
Closest atoms and distances in Å follow each position.
Fractional coordinates of all 8 atoms:
Pr (0.0000, 0.0000, 0.0000)  10 Pd 2.92-3.00
Tl (0.7842, 0.7158, 0.7158)  7 Pd 2.77-2.93
Tl (0.2158, 0.2842, 0.2842)  7 Pd 2.77-2.93
Pd (0.0000, 0.5000, 0.5000)  2 Tl 2.84, 2 Pr 2.92, 8 Pd 2.94
Pd (0.6084, 0.6311, 0.1521)  3 Tl 2.77-2.93, 5 Pd 2.80-3.04, 2 Pr 3.00
Pd (0.3916, 0.3689, 0.8479)  3 Tl 2.77-2.93, 5 Pd 2.80-3.04, 2 Pr 3.00
Pd (0.3916, 0.8479, 0.3689)  3 Tl 2.77-2.93, 5 Pd 2.80-3.04, 2 Pr 3.00
Pd (0.6084, 0.1521, 0.6311)  3 Tl 2.77-2.93, 5 Pd 2.80-3.04, 2 Pr 3.00

**ΔE_f**: -40.8 kJ/mol of atoms
**Raw total energy**: -4.8577 eV per atom
**Mass density**: 10.8 g/cm3
**Fermi-level density of states**: 3.81 states/eV per cell

=====

An optimized crystal structure of PrTlPd, computed with PBE.

a b c (Å): 9.2007 9.2007 3.2398
angles (deg): 90.00 90.00 120.00
Closest atoms and distances in Å follow each position.
Fractional coordinates of all 9 atoms:
Pr (0.0000, 0.6223, 0.5000)  3 Tl 3.00-3.17, 2 Pr 3.24, 4 Pd 3.31
Pr (0.6223, 0.0000, 0.5000)  3 Tl 3.00-3.17, 2 Pr 3.24, 4 Pd 3.31
Pr (0.3777, 0.3777, 0.5000)  3 Tl 3.00-3.17, 2 Pr 3.24, 4 Pd 3.31
Tl (0.0000, 0.2957, 0.5000)  1 Pd 2.72, 1 Pr 3.00
Tl (0.2957, 0.0000, 0.5000)  1 Pd 2.72, 1 Pr 3.00
Tl (0.7043, 0.7043, 0.5000)  1 Pd 2.72, 1 Pr 3.00
Pd (0.0000, 0.0000, 0.5000)  3 Tl 2.72
Pd (0.6667, 0.3333, 0.0000)  2 Pd 3.24, 6 Pr 3.31
Pd (0.3333, 0.6667, 0.0000)  2 Pd 3.24, 6 Pr 3.31

**Energy relative to the lowest polymorph listed for this composition**: 549 meV per atom
**ΔE_f**: -6.7 kJ/mol of atoms
**Raw total energy**: -4.1826 eV per atom
**Mass density**: 9.5 g/cm3
**Fermi-level density of states**: 7.91 states/eV per cell